[1]
{
  "formula": "YRu2Cl",
  "functional": "PBE",
  "state": "optimized geometry",
  "lattice": [[0.0000, 3.2724, 3.2724], [3.2724, 0.0000, 3.2724], [3.2724, 3.2724, 0.0000]],
  "species": ["Ru", "Ru", "Cl", "Y"],
  "frac_coords": [[0.2500, 0.2500, 0.2500], [0.7500, 0.7500, 0.7500], [0.0000, 0.0000, 0.0000], [0.5000, 0.5000, 0.5000]],
  "sg": "Fm-3m",
  "magmom_total_mub_per_cell": 0.0,
  "e_tot_ev_per_cell": -24.38
}

[2]
{
  "formula": "Cs2Ac2CeO6",
  "functional": "PBE",
  "state": "optimized geometry",
  "lattice": [[-6.3205, -0.6017, -1.6568], [4.6649, -1.7533, -4.2685], [0.4322, -5.8567, 4.4002]],
  "species": ["O", "O", "O", "O", "O", "O", "Ac", "Ac", "Cs", "Cs", "Ce"],
  "frac_coords": [[0.3579, 0.0412, 0.6565], [0.9588, 0.6421, 0.3435], [0.0412, 0.3579, 0.6565], [0.2478, 0.2478, 0.3389], [0.7522, 0.7522, 0.6611], [0.6421, 0.9588, 0.3435], [0.3348, 0.6652, 0.5000], [0.6652, 0.3348, 0.5000], [0.1642, 0.8358, 0.0000], [0.8358, 0.1642, 0.0000], [0.0000, 0.0000, 0.5000]],
  "sg": "C2/m",
  "magmom_total_mub_per_cell": 0.0,
  "e_tot_ev_per_cell": -75.95
}

[3]
{
  "formula": "Gd2MnIn",
  "functional": "PBE",
  "state": "optimized geometry",
  "lattice": [[3.6289, 0.0000, 0.0000], [0.0000, 3.6289, 0.0000], [0.0000, 0.0000, 7.7283]],
  "species": ["In", "Mn", "Gd", "Gd"],
  "frac_coords": [[0.5000, 0.5000, 0.5000], [0.5000, 0.5000, 0.0000], [0.0000, 0.0000, 0.7710], [0.0000, 0.0000, 0.2290]],
  "sg": "P4/mmm",
  "magmom_total_mub_per_cell": 17.4,
  "formation_enthalpy_0k_ev_per_fu": -0.4
}